Entry 1:
The following is a GGA-PBEsol calculation of crystalline MgTeMo2 at its relaxed geometry, from Alexandria via LeMat-Bulk.

The calculation puts the energy above the most stable polymorph in this dataset at 175.6 meV/atom. As for the calculated volume: 67.94 Å³/f.u. The value obtained for the raw formation energy is 12.044 kcal/mol of atoms. As for the total magnetic moment: 0.00 μB/f.u.

Unit cell a=4.422 b=4.422 c=3.515 alpha=90.00 beta=90.00 gamma=98.62
Atoms (fractional coordinates):
Mg1 0.000 0.000 0.000
Te1 0.500 0.500 0.000
Mo1 0.000 0.500 0.500
Mo2 0.500 0.000 0.500

=====

Entry 2:
The following is a GGA-PBEsol calculation of crystalline MgTeMo2 at its relaxed geometry, from Alexandria via LeMat-Bulk.

The calculation puts the energy above the most stable polymorph in this dataset at 202.5 meV/atom. As for the calculated volume: 67.22 Å³/f.u. The value obtained for the raw formation energy is 12.665 kcal/mol of atoms. As for the total magnetic moment: 0.00 μB/f.u.

Unit cell a=4.564 b=4.564 c=4.564 alpha=60.00 beta=60.00 gamma=60.00
Atoms (fractional coordinates):
Mg1 0.000 0.000 0.000
Te1 0.500 0.500 0.500
Mo1 0.250 0.250 0.250
Mo2 0.750 0.750 0.750

=====

Entry 3:
The following is a GGA-PBEsol calculation of crystalline MgTeMo2 at its relaxed geometry, from Alexandria via LeMat-Bulk.

The calculation puts the energy above the most stable polymorph in this dataset at 230.7 meV/atom. As for the calculated volume: 69.88 Å³/f.u. The value obtained for the raw formation energy is 13.314 kcal/mol of atoms. As for the total magnetic moment: 0.00 μB/f.u.

Unit cell a=5.265 b=5.265 c=2.961 alpha=100.19 beta=100.19 gamma=115.51
Atoms (fractional coordinates):
Mg1 0.000 0.000 0.000
Te1 0.500 0.500 0.000
Mo1 0.000 0.500 0.500
Mo2 0.500 0.000 0.500

=====

Entry 4:
The following is a GGA-PBEsol calculation of crystalline MgTl2Mo at its relaxed geometry, from Alexandria via LeMat-Bulk.

The calculation puts the energy above the most stable polymorph in this dataset at 0.0 meV/atom. As for the calculated volume: 78.38 Å³/f.u. As for the total magnetic moment: 0.00 μB/f.u. As for the formation energy: 0.48 eV/atom.

Unit cell a=5.345 b=5.345 c=5.345 alpha=133.73 beta=133.73 gamma=67.51
Atoms (fractional coordinates):
Mg1 0.000 0.000 0.000
Tl1 0.250 0.750 0.500
Tl2 0.750 0.250 0.500
Mo1 0.500 0.500 0.000

=====

Entry 5:
The following is a GGA-PBEsol calculation of crystalline MgTl2Mo at its relaxed geometry, from Alexandria via LeMat-Bulk.

The calculation puts the energy above the most stable polymorph in this dataset at 28.3 meV/atom. As for the calculated volume: 82.15 Å³/f.u. As for the total magnetic moment: 0.00 μB/f.u. As for the formation energy: 0.51 eV/atom.

Unit cell a=5.722 b=5.722 c=3.038 alpha=103.68 beta=103.68 gamma=113.69
Atoms (fractional coordinates):
Mg1 0.000 0.000 0.000
Tl1 0.000 0.500 0.500
Tl2 0.500 0.000 0.500
Mo1 0.500 0.500 0.000

=====

Entry 6:
The following is a GGA-PBEsol calculation of crystalline MgTlMo3 at its relaxed geometry, from Alexandria via LeMat-Bulk.

As for the calculated volume: 95.54 Å³/f.u. As for the total magnetic moment: 0.02 μB/f.u. As for the formation energy: 2.13 eV/atom.

Unit cell a=4.572 b=4.572 c=4.572 alpha=90.00 beta=90.00 gamma=90.00
Atoms (fractional coordinates):
Mg1 0.000 0.000 0.000
Tl1 0.500 0.500 0.500
Mo1 0.000 0.000 0.500
Mo2 0.000 0.500 0.000
Mo3 0.500 0.000 0.000